This record from the Alexandria database describes TiCo3H after structural relaxation. The functional is PBE.

Cell: 4.796 4.796 5.678 Å, 65.02 65.02 90.00°
Each line ends with the local moment (μB).
Positions (direct):
H 0.000 0.000 0.000  -0.01
H 0.250 0.750 0.500  -0.01
Co 0.621 0.866 0.268  0.77
Co 0.134 0.379 0.732  0.91
Co 0.134 0.889 0.732  0.91
Co 0.111 0.866 0.268  0.77
Co 0.375 0.375 0.250  1.30
Co 0.625 0.625 0.750  1.41
Ti 0.594 0.094 0.812  -0.33
Ti 0.906 0.406 0.188  -0.30

Computed properties:
Its density is 7.2 g/cm³. The calculation puts the final energy at -6.407 eV per atom. For the magnetic moment, the calculation gives 5.26 Bohr magnetons per cell.